(1)
This record from Alexandria via LeMat-Bulk describes a relaxed structure of KZrB. The functional is PBE.

Lattice parameters (Å, degrees): 6.870 3.116 14.192 90.00 98.56 90.00
Atoms (fractional coordinates):
Zr 0.597 0.000 0.141
B 0.791 0.500 0.066
K 0.480 0.000 0.896
Zr 0.134 0.500 0.127
B 0.883 0.500 0.563
B 0.883 0.000 0.063
K 0.480 0.500 0.396
Zr 0.597 0.500 0.641
Zr 0.134 0.000 0.627
K 0.975 0.500 0.871
B 0.791 0.000 0.566
K 0.975 0.000 0.371

Output
* magnetization: 0.00 μB per cell
* formation enthalpy at 0 K: 0.267 eV/atom
* crystal system: monoclinic
* space group: Cm, No. 8
* calculated volume: 300 Å³/cell
* offset from the most stable computed form: 383 meV/atom



(2)
This record from Alexandria via LeMat-Bulk describes a relaxed structure of K2ZrB. The functional is PBE.

Lattice parameters (Å, degrees): 12.107 12.107 8.859 46.90 46.90 90.00
Last column: magnetic moment on the atom in μB.
Atoms (fractional coordinates):
B 0.250 0.750 0.500  0.16
B 0.500 0.500 0.000  0.16
K 0.463 0.125 0.250  0.00
Zr 0.750 0.250 0.500  0.20
K 0.375 0.537 0.750  0.00
K 0.287 0.625 0.250  0.00
Zr 0.000 0.000 0.000  0.20
K 0.875 0.713 0.750  0.00

Output
* magnetization: 1.30 μB per cell
* formation enthalpy at 0 K: 1.052 eV/atom
* crystal system: tetragonal
* space group: I-42d, No. 122
* calculated volume: 334 Å³/cell



(3)
This record from Alexandria via LeMat-Bulk describes a relaxed structure of KZrB. The functional is PBE.

Lattice parameters (Å, degrees): 4.436 4.436 9.148 90.00 90.00 90.00
Atoms (fractional coordinates):
B 0.000 0.000 0.500
K 0.000 0.500 0.816
K 0.500 0.000 0.184
Zr 0.500 0.000 0.578
B 0.500 0.500 0.500
Zr 0.000 0.500 0.422

Output
* magnetization: 0.00 μB per cell
* formation enthalpy at 0 K: 0.266 eV/atom
* crystal system: tetragonal
* space group: P4/nmm, No. 129
* calculated volume: 180 Å³/cell
* offset from the most stable computed form: 381 meV/atom



(4)
This record from Alexandria via LeMat-Bulk describes a relaxed structure of KZrB. The functional is PBE.

Lattice parameters (Å, degrees): 4.540 4.540 6.983 90.00 90.13 90.00
Atoms (fractional coordinates):
Zr 0.250 0.750 0.000
Zr 0.750 0.250 0.000
K 0.249 0.250 0.405
K 0.751 0.750 0.595
B 0.752 0.750 0.133
B 0.248 0.250 0.867

Output
* magnetization: 0.00 μB per cell
* formation enthalpy at 0 K: 0.319 eV/atom
* crystal system: monoclinic
* space group: P2_1/m, No. 11
* calculated volume: 144 Å³/cell
* offset from the most stable computed form: 435 meV/atom



(5)
This record from Alexandria via LeMat-Bulk describes a relaxed structure of KZrB. The functional is PBE.

Lattice parameters (Å, degrees): 3.133 6.289 8.158 82.29 82.78 89.99
Last column: magnetic moment on the atom in μB.
Atoms (fractional coordinates):
K 0.333 0.227 0.647  0.01
B 0.253 0.957 0.992  0.00
K 0.667 0.773 0.353  0.01
Zr 0.782 0.696 0.901  0.10
Zr 0.218 0.304 0.099  0.10
B 0.747 0.043 0.008  0.00

Output
* magnetization: 0.49 μB per cell
* formation enthalpy at 0 K: 0.222 eV/atom
* crystal system: triclinic
* space group: P-1, No. 2
* calculated volume: 158 Å³/cell
* offset from the most stable computed form: 337 meV/atom



(6)
This record from Alexandria via LeMat-Bulk describes a relaxed structure of LaB. The functional is PBE.

Lattice parameters (Å, degrees): 3.218 4.030 7.760 75.75 78.38 66.47
Atoms (fractional coordinates):
La 0.570 0.595 0.256
B 0.217 0.064 0.501
B 0.783 0.936 0.499
La 0.430 0.405 0.744

Output
* magnetization: 0.01 μB per cell
* formation enthalpy at 0 K: -0.225 eV/atom
* crystal system: triclinic
* space group: P-1, No. 2
* calculated volume: 89 Å³/cell
* offset from the most stable computed form: 75 meV/atom



(7)
This record from Alexandria via LeMat-Bulk describes a relaxed structure of LaB. The functional is PBE.

Lattice parameters (Å, degrees): 6.049 6.049 6.049 90.00 90.00 90.00
Atoms (fractional coordinates):
La 0.500 0.000 0.500
B 0.250 0.750 0.750
B 0.250 0.250 0.250
B 0.750 0.750 0.250
La 0.000 0.500 0.500
La 0.500 0.500 0.000
La 0.000 0.000 0.000
B 0.750 0.250 0.750

Output
* magnetization: 0.01 μB per cell
* formation enthalpy at 0 K: 0.872 eV/atom
* crystal system: cubic
* space group: F-43m, No. 216
* calculated volume: 221 Å³/cell
* offset from the most stable computed form: 1173 meV/atom



(8)
This record from Alexandria via LeMat-Bulk describes a relaxed structure of LaB. The functional is PBE.

Lattice parameters (Å, degrees): 10.528 10.528 3.235 90.00 90.00 90.00
Atoms (fractional coordinates):
La 0.252 0.000 0.500
B 0.735 0.265 0.500
B 0.735 0.735 0.500
B 0.265 0.735 0.500
La 0.500 0.752 0.000
La 0.500 0.248 0.000
B 0.265 0.265 0.500
B 0.235 0.235 0.000
La 0.248 0.500 0.000
B 0.765 0.235 0.000
B 0.765 0.765 0.000
B 0.235 0.765 0.000
La 0.752 0.500 0.000
La 0.000 0.748 0.500
La 0.000 0.252 0.500
La 0.748 0.000 0.500

Output
* magnetization: 0.02 μB per cell
* formation enthalpy at 0 K: -0.165 eV/atom
* crystal system: tetragonal
* space group: I4/mmm, No. 139
* calculated volume: 359 Å³/cell
* offset from the most stable computed form: 135 meV/atom